# 1
{
  "formula": "Fe4PtPb",
  "functional": "PBE",
  "state": "relaxed",
  "energy_ev_per_atom": -7.072,
  "space_group": "No. 216",
  "crystal_system": "cubic",
  "lattice": [[0.0000, 3.5183, 3.5183], [3.5183, 0.0000, 3.5183], [3.5183, 3.5183, 0.0000]],
  "species": ["Fe", "Fe", "Fe", "Fe", "Pt", "Pb"],
  "frac_coords": [[0.1250, 0.1250, 0.1250], [0.1250, 0.1250, 0.6250], [0.1250, 0.6250, 0.1250], [0.6250, 0.1250, 0.1250], [0.7500, 0.7500, 0.7500], [0.5000, 0.5000, 0.5000]]
}

---

# 2
{
  "formula": "FePtPb2",
  "functional": "PBE",
  "state": "relaxed",
  "energy_ev_per_atom": -5.097,
  "space_group": "No. 12",
  "crystal_system": "monoclinic",
  "lattice": [[4.3396, -1.6881, 0.0000], [4.3396, 1.6881, 0.0000], [-1.3928, 0.0000, 5.7987]],
  "species": ["Fe", "Pt", "Pb", "Pb"],
  "frac_coords": [[0.0000, 0.0000, 0.0000], [0.5000, 0.5000, 0.5000], [0.2485, 0.2485, 0.7523], [0.7515, 0.7515, 0.2477]]
}

---

# 3
{
  "formula": "Fe2PtPb",
  "functional": "PBE",
  "state": "relaxed",
  "energy_ev_per_atom": -6.438,
  "space_group": "No. 71",
  "crystal_system": "orthorhombic",
  "lattice": [[-1.9723, 1.9789, 4.1328], [1.9723, -1.9789, 4.1328], [1.9723, 1.9789, -4.1328]],
  "species": ["Fe", "Fe", "Pt", "Pb"],
  "frac_coords": [[0.2501, 0.2501, 0.0000], [0.7499, 0.7499, 0.0000], [0.5000, 0.0000, 0.5000], [0.0000, 0.5000, 0.5000]]
}

---

# 4
{
  "formula": "Fe2PtPb",
  "functional": "PBE",
  "state": "relaxed",
  "energy_ev_per_atom": -6.438,
  "space_group": "No. 8",
  "crystal_system": "monoclinic",
  "lattice": [[4.4179, -1.5701, 0.0000], [4.4179, 1.5701, 0.0000], [-1.1752, 0.0000, 4.7921]],
  "species": ["Fe", "Fe", "Pt", "Pb"],
  "frac_coords": [[0.0000, 0.0000, 0.0000], [0.7169, 0.7169, 0.1973], [0.2569, 0.2569, 0.7890], [0.4868, 0.4868, 0.4811]]
}

---

# 5
{
  "formula": "Fe2PtPb",
  "functional": "PBE",
  "state": "relaxed",
  "energy_ev_per_atom": -6.193,
  "space_group": "No. 166",
  "crystal_system": "trigonal",
  "lattice": [[1.5044, 0.8686, 8.7267], [-1.5044, 0.8686, 8.7267], [0.0000, -1.7371, 8.7267]],
  "species": ["Fe", "Fe", "Pt", "Pb"],
  "frac_coords": [[0.2434, 0.2434, 0.2434], [0.7566, 0.7566, 0.7566], [0.5000, 0.5000, 0.5000], [0.0000, 0.0000, 0.0000]]
}

---

# 6
{
  "formula": "FePtPb2",
  "functional": "PBE",
  "state": "relaxed",
  "energy_ev_per_atom": -5.359,
  "space_group": "No. 6",
  "crystal_system": "monoclinic",
  "lattice": [[3.8719, 0.0000, 0.0000], [0.0000, 4.2159, 0.0000], [-1.9302, 0.0000, 5.2249]],
  "species": ["Fe", "Pt", "Pb", "Pb"],
  "frac_coords": [[0.0000, 0.0000, 0.0000], [0.8588, 0.5000, 0.7170], [0.2761, 0.0000, 0.5540], [0.5737, 0.5000, 0.1447]]
}